FeGeO3 | GGA+U | optimized geometry

Unit cell a=6.3053 b=5.0218 c=7.0649 alpha=90.00 beta=100.10 gamma=90.00
With the nearest neighbours (Å) after each atom.
Sites, in units of the cell vectors:
Fe: 0.1591 0.2416 0.2043  3 O 1.96-2.11
Fe: 0.1591 0.2584 0.7043  3 O 1.96-2.11
Fe: 0.8409 0.7416 0.2957  3 O 1.96-2.11
Fe: 0.8409 0.7584 0.7957  3 O 1.96-2.11
Ge: 0.4005 0.7462 0.9182  4 O 1.79-1.96
Ge: 0.4005 0.7538 0.4182  4 O 1.79-1.96
Ge: 0.5995 0.2462 0.5818  4 O 1.79-1.96
Ge: 0.5995 0.2538 0.0818  4 O 1.79-1.96
O: 0.1406 0.6262 0.3159  1 Ge 1.79, 1 Fe 1.96
O: 0.1406 0.8738 0.8159  1 Ge 1.79, 1 Fe 1.96
O: 0.3134 0.0947 0.4884  2 Ge 1.89-1.96, 1 Fe 2.11
O: 0.3134 0.4053 0.9884  2 Ge 1.89-1.96, 1 Fe 2.11
O: 0.4282 0.5554 0.6573  3 Ge 1.94-2.11
O: 0.4282 0.9446 0.1573  3 Ge 1.94-2.11
O: 0.5718 0.0554 0.8427  3 Ge 1.94-2.11
O: 0.5718 0.4446 0.3427  3 Ge 1.94-2.11
O: 0.6866 0.5947 0.0116  2 Ge 1.89-1.96, 1 Fe 2.11
O: 0.6866 0.9053 0.5115  2 Ge 1.89-1.96, 1 Fe 2.11
O: 0.8594 0.1262 0.1841  1 Ge 1.79, 1 Fe 1.96
O: 0.8594 0.3738 0.6841  1 Ge 1.79, 1 Fe 1.96

Calculated values
- DFT total energy (eV/atom) = -6.530